# 1
Entry from the Alexandria database: an optimized crystal structure of La2Sm3In4 (PBE-GGA). Values from VASP.

## Properties
- E_form (meV per atom) = -326

Structure (Quantum ESPRESSO input):
```
&SYSTEM
  ibrav = 0, nat = 18, ntyp = 3
/
ATOMIC_SPECIES
In 114.82 In.upf
Sm 150.36 Sm.upf
La 138.91 La.upf
CELL_PARAMETERS angstrom
-2.2974 -6.8470 -0.6203
7.4725 -2.0351 -5.2110
5.4562 1.3451 7.2988
ATOMIC_POSITIONS crystal
In 0.8166 0.0352 0.6332
Sm 0.4709 0.2500 0.4418
In 0.1834 0.9648 0.3668
Sm 0.9709 0.2500 0.4418
La 0.6086 0.9265 0.2173
In 0.7858 0.2500 0.0717
In 0.3166 0.4648 0.6332
In 0.7142 0.7500 0.9283
Sm 0.0000 0.0000 0.0000
Sm 0.5000 0.5000 0.0000
La 0.1086 0.5735 0.2173
In 0.2142 0.7500 0.9283
La 0.3914 0.0735 0.7827
Sm 0.5291 0.7500 0.5582
In 0.6834 0.5352 0.3668
Sm 0.0291 0.7500 0.5582
La 0.8914 0.4265 0.7827
In 0.2858 0.2500 0.0717
```


# 2
Entry from the Alexandria database: an optimized crystal structure of LaSm3In4 (PBE-GGA). Values from VASP.

## Properties
- E_form (meV per atom) = -495

Structure (Quantum ESPRESSO input):
```
&SYSTEM
  ibrav = 0, nat = 16, ntyp = 3
/
ATOMIC_SPECIES
La 138.91 La.upf
In 114.82 In.upf
Sm 150.36 Sm.upf
CELL_PARAMETERS angstrom
5.4666 0.0000 0.0000
0.0000 7.7132 0.0000
0.0000 0.0000 10.9333
ATOMIC_POSITIONS crystal
La 0.0000 0.5000 0.5000
In 0.9997 0.7569 0.7500
La 0.0000 0.5000 0.0000
In 0.5000 0.2432 0.0000
Sm 0.0000 0.0000 0.5000
In 0.0003 0.2431 0.2500
Sm 0.0000 0.0000 0.0000
Sm 0.4997 0.0000 0.7500
Sm 0.5002 0.5000 0.2500
In 0.9997 0.2431 0.7500
In 0.5000 0.2432 0.5000
In 0.5000 0.7568 0.0000
Sm 0.4998 0.5000 0.7500
In 0.0003 0.7569 0.2500
Sm 0.5003 0.0000 0.2500
In 0.5000 0.7568 0.5000
```


no.,total moment (μB/f.u.)
1,0.00
2,0.00